An optimized crystal structure of CoH2O2. Source: Alexandria via LeMat-Bulk, functional PBE+U.

Geometry as POSCAR:
```
CoH2O2
1.0
-1.290 3.124 0.655
-0.461 -1.439 -3.093
-3.844 -1.892 1.454
H Co O
2 1 2
direct
0.000 0.000 0.418 H
0.333 0.667 0.025 H
0.667 0.333 0.980 Co
0.000 0.000 0.202 O
0.333 0.667 0.805 O
```

Values from the calculation:
Space-group type = P3m1
Fermi-level density of states = 0.00 states/eV/f.u.
Total moment = 3.00 μB per formula unit
Energy above the lowest structure with this stoichiometry = 1.06 eV/f.u.